## TbSnS2 (PBE-GGA)

Data for an optimized crystal structure of TbSnS2.

Computed properties:
SG: R-3m (166)
Formation energy without anion corrections, eV/atom: -0.546

a = 3.9153 Å, b = 3.9153 Å, c = 8.7006 Å
α = 77.00°, β = 77.00°, γ = 60.00°
Last column: nearest neighbours and their distance in Å.
Element x y z (fractional)
Tb (0.0000, 0.0000, 0.0000)  2 S 2.62
S (0.8960, 0.8960, 0.3121)  1 Tb 2.62, 3 Sn 2.76
S (0.1040, 0.1040, 0.6879)  1 Tb 2.62, 3 Sn 2.76
Sn (0.5000, 0.5000, 0.5000)  6 S 2.76



## ZrNbNiGe2 (PBE-GGA)

Data for an optimized crystal structure of ZrNbNiGe2.

Computed properties:
E_form, eV/atom: 1.12
SG: P4/mmm (123)

a = 4.9770 Å, b = 4.4749 Å, c = 4.9770 Å
α = 90.00°, β = 90.00°, γ = 90.00°
Last column: nearest neighbours and their distance in Å.
Element x y z (fractional)
Nb (0.5000, 0.5000, 0.5000)  8 Ge 3.35, 4 Ni 3.52
Zr (0.0000, 0.0000, 0.0000)  2 Ni 2.24, 4 Ge 2.49
Ge (0.5000, 0.0000, 0.0000)  2 Zr 2.49
Ge (0.0000, 0.0000, 0.5000)  2 Zr 2.49
Ni (0.0000, 0.5000, 0.0000)  2 Zr 2.24



## LiTlAs2 (PBE-GGA)

Data for an optimized crystal structure of LiTlAs2.

Computed properties:
E_form, eV/atom: -0.07
SG: Cmmm (65)

a = 2.9706 Å, b = 2.9706 Å, c = 9.5232 Å
α = 90.00°, β = 90.00°, γ = 90.18°
Last column: nearest neighbours and their distance in Å.
Element x y z (fractional)
As (0.0000, 0.0000, 0.0518)  4 Li 2.82-2.83, 4 As 2.97
As (0.0000, 0.0000, 0.4482)  4 Li 2.82-2.83, 4 As 2.97
Tl (0.5000, 0.5000, 0.7500)  4 Tl 2.97
Li (0.5000, 0.5000, 0.2500)  8 As 2.82-2.83, 4 Li 2.97



## Cd2SnWI (PBE-GGA)

Data for an optimized crystal structure of Cd2SnWI.

Computed properties:
SG: P4/mmm (123)
Formation energy without anion corrections, eV/atom: 1.102

a = 5.5924 Å, b = 5.4806 Å, c = 5.5924 Å
α = 90.00°, β = 90.00°, γ = 90.00°
Last column: nearest neighbours and their distance in Å.
Element x y z (fractional)
Sn (0.0000, 0.0000, 0.0000)  2 W 2.74, 4 Cd 2.80
Cd (0.0000, 0.0000, 0.5000)  2 Sn 2.80
Cd (0.5000, 0.0000, 0.0000)  2 Sn 2.80
I (0.5000, 0.5000, 0.5000)  8 Cd 3.92, 4 W 3.95
W (0.0000, 0.5000, 0.0000)  2 Sn 2.74



## YHo3Er2Se6 (PBE-GGA)

Data for an optimized crystal structure of YHo3Er2Se6.

Computed properties:
SG: C2/m (12)
Formation energy without anion corrections, eV/atom: -1.719

a = 4.0432 Å, b = 8.1397 Å, c = 9.0607 Å
α = 103.17°, β = 102.89°, γ = 90.00°
Last column: nearest neighbours and their distance in Å.
Element x y z (fractional)
Se (0.9992, 0.7474, 0.9984)  1 Er 2.84, 3 Ho 2.85-2.86, 2 Y 2.88
Se (0.6680, 0.0852, 0.3361)  2 Er 2.86, 3 Ho 2.86-2.87, 1 Y 2.89
Se (0.3326, 0.4179, 0.6652)  3 Er 2.86-2.87, 3 Ho 2.88
Se (0.0008, 0.2526, 0.0016)  1 Er 2.84, 3 Ho 2.85-2.86, 2 Y 2.88
Se (0.6674, 0.5821, 0.3348)  3 Er 2.86-2.87, 3 Ho 2.88
Se (0.3320, 0.9148, 0.6639)  2 Er 2.86, 3 Ho 2.86-2.87, 1 Y 2.89
Ho (0.1653, 0.8332, 0.3307)  6 Se 2.85-2.88
Ho (0.8347, 0.1668, 0.6693)  6 Se 2.85-2.88
Ho (0.5000, 0.5000, 0.0000)  6 Se 2.86-2.88
Y (0.5000, 0.0000, 0.0000)  6 Se 2.88-2.89
Er (0.1660, 0.3320, 0.3320)  6 Se 2.84-2.87
Er (0.8340, 0.6680, 0.6680)  6 Se 2.84-2.87



## InOsCl2 (PBE-GGA)

Data for an optimized crystal structure of InOsCl2.

Computed properties:
SG: P4/mmm (123)
Formation energy without anion corrections, eV/atom: 0.903
Offset from the most stable computed form, meV/atom: 890.4

a = 5.2529 Å, b = 5.2529 Å, c = 3.1374 Å
α = 90.00°, β = 90.00°, γ = 90.00°
Last column: nearest neighbours and their distance in Å.
Element x y z (fractional)
Cl (0.5000, 0.5000, 0.0000)  4 In 3.06, 4 Os 3.06, 2 Cl 3.14
Cl (0.0000, 0.0000, 0.0000)  4 In 3.06, 4 Os 3.06, 2 Cl 3.14
In (0.5000, 0.0000, 0.5000)  8 Cl 3.06, 2 In 3.14
Os (0.0000, 0.5000, 0.5000)  8 Cl 3.06, 2 Os 3.14



## ReAsRh (PBE-GGA)

Data for an optimized crystal structure of ReAsRh.

Computed properties:
E_form, eV/atom: 0.06
SG: P-6m2 (187)
Offset from the most stable computed form, meV/atom: 0.0

a = 2.9198 Å, b = 2.9196 Å, c = 12.3151 Å
α = 90.00°, β = 90.00°, γ = 120.00°
Last column: nearest neighbours and their distance in Å.
Element x y z (fractional)
As (0.1116, 0.2233, 0.8423)  3 Re 2.57, 3 Rh 2.74
As (0.1116, 0.2233, 0.1577)  3 Re 2.57, 3 Rh 2.74
Re (0.4450, 0.8899, 0.0000)  6 As 2.57
Re (0.4439, 0.8877, 0.5000)  6 Rh 2.66, 6 Re 2.92
Rh (0.7773, 0.5545, 0.3331)  3 Re 2.66, 3 As 2.74, 6 Rh 2.92
Rh (0.7773, 0.5545, 0.6669)  3 Re 2.66, 3 As 2.74, 6 Rh 2.92



## Ta2PbCl (PBE-GGA)

Data for an optimized crystal structure of Ta2PbCl.

Computed properties:
SG: Cm (8)
Formation energy without anion corrections, eV/atom: 0.428
Offset from the most stable computed form, meV/atom: 507.8

a = 5.3397 Å, b = 5.3397 Å, c = 5.7516 Å
α = 77.61°, β = 77.61°, γ = 33.27°
Last column: nearest neighbours and their distance in Å.
Element x y z (fractional)
Cl (0.4656, 0.4656, 0.5983)  4 Ta 2.54-2.65
Ta (0.7525, 0.7525, 0.7553)  2 Cl 2.65, 2 Ta 2.84
Ta (0.0162, 0.0162, 0.9199)  2 Cl 2.54, 2 Ta 2.84
Pb (0.2658, 0.2658, 0.2265)  2 Pb 3.06, 7 Ta 3.14-3.41, 1 Cl 3.27